(1)
First-principles (GGA+U) data for PrCrAs2O8 after structural relaxation, as listed in Alexandria via LeMat-Bulk.

calculated total energy: -6.921 eV per atom
space group: P-3m1 (164)

abc: 5.4118 5.4118 6.8152
angles: 90.00 90.00 120.00
Last column: nearest neighbours and their distance in Å.
Atoms (fractional coordinates):
1 O 0.3333 0.6667 0.4840  1 As 1.70
2 O 0.6667 0.3333 0.5160  1 As 1.70
3 O 0.1578 0.3157 0.8031  1 As 1.71
4 O 0.8422 0.6843 0.1969  1 As 1.71
5 O 0.8422 0.1578 0.1969  1 As 1.71
6 O 0.1578 0.8422 0.8031  1 As 1.71
7 O 0.3157 0.1578 0.1969  1 As 1.71
8 O 0.6843 0.8422 0.8031  1 As 1.71
9 As 0.3333 0.6667 0.7328  4 O 1.70-1.71
10 As 0.6667 0.3333 0.2672  4 O 1.70-1.71
11 Cr 0.0000 0.0000 0.0000  6 O 2.00
12 Pr 0.0000 0.0000 0.5000  6 O 2.54


(2)
First-principles (GGA+U) data for Rb2Cr2As2O9 after structural relaxation, as listed in Alexandria via LeMat-Bulk.

calculated total energy: -6.414 eV per atom
space group: Pnma (62)

abc: 5.8054 8.7524 18.7995
angles: 90.00 90.00 90.00
Last column: nearest neighbours and their distance in Å.
Atoms (fractional coordinates):
1 O 0.7500 0.9638 0.4270  1 As 1.78
2 O 0.5077 0.7031 0.3690  1 As 1.74
3 O 0.7500 0.5551 0.9348  3 Cr 1.96
4 O 0.2500 0.4449 0.0652  3 Cr 1.96
5 O 0.0033 0.2294 0.4797  1 As 1.77
6 O 0.2500 0.0877 0.7178  1 As 1.68
7 O 0.7500 0.4948 0.5217  1 As 1.70
8 O 0.0077 0.2969 0.6310  1 As 1.74
9 O 0.4923 0.7969 0.8690  1 As 1.74
10 O 0.7500 0.9123 0.2822  1 As 1.68
11 O 0.7500 0.4638 0.0730  1 As 1.78
12 O 0.5033 0.2706 0.9797  1 As 1.77
13 O 0.2500 0.0052 0.0217  1 As 1.70
14 O 0.2500 0.5362 0.9270  1 As 1.78
15 O 0.0077 0.7969 0.8690  1 As 1.74
16 O 0.2500 0.8125 0.1433  1 As 1.69
17 O 0.2500 0.5052 0.4783  1 As 1.70
18 O 0.2500 0.9449 0.4348  3 Cr 1.96
19 O 0.2500 0.3125 0.3567  1 As 1.69
20 O 0.4967 0.7294 0.0203  1 As 1.77
21 O 0.2500 0.5877 0.7822  1 As 1.68
22 O 0.7500 0.9948 0.9783  1 As 1.70
23 O 0.2500 0.0362 0.5730  1 As 1.78
24 O 0.9967 0.7706 0.5203  1 As 1.77
25 O 0.7500 0.1875 0.8567  1 As 1.69
26 O 0.4923 0.2969 0.6310  1 As 1.74
27 O 0.9923 0.7031 0.3690  1 As 1.74
28 O 0.5033 0.7706 0.5203  1 As 1.77
29 O 0.7500 0.0551 0.5652  3 Cr 1.96
30 O 0.0033 0.7294 0.0203  1 As 1.77
31 O 0.9923 0.2031 0.1310  1 As 1.74
32 O 0.5077 0.2031 0.1310  1 As 1.74
33 O 0.4967 0.2294 0.4797  1 As 1.77
34 O 0.7500 0.4123 0.2178  1 As 1.68
35 O 0.7500 0.6875 0.6433  1 As 1.69
36 O 0.9967 0.2706 0.9797  1 As 1.77
37 Cr 0.0000 0.5000 0.0000  6 O 1.96-2.04
38 Cr 0.5000 0.5000 0.0000  6 O 1.96-2.04
39 Cr 0.7500 0.2784 0.5583  6 O 1.96-2.13
40 Cr 0.0000 0.0000 0.5000  6 O 1.96-2.04
41 Cr 0.5000 0.0000 0.5000  6 O 1.96-2.04
42 Cr 0.7500 0.7784 0.9417  6 O 1.96-2.13
43 Cr 0.2500 0.2216 0.0583  6 O 1.96-2.13
44 Cr 0.2500 0.7216 0.4417  6 O 1.96-2.13
45 Rb 0.2500 0.0363 0.2715  5 O 2.90-3.17
46 Rb 0.7500 0.9637 0.7285  5 O 2.90-3.17
47 Rb 0.7500 0.8981 0.1384  5 O 2.71-3.02
48 Rb 0.2500 0.1019 0.8616  5 O 2.71-3.02
49 Rb 0.2500 0.6019 0.6384  5 O 2.71-3.02
50 Rb 0.7500 0.4637 0.7715  5 O 2.90-3.17
51 Rb 0.7500 0.3981 0.3616  5 O 2.71-3.02
52 Rb 0.2500 0.5363 0.2285  5 O 2.90-3.17
53 As 0.7500 0.1759 0.9463  4 O 1.69-1.77
54 As 0.2500 0.3241 0.4463  4 O 1.69-1.77
55 As 0.7500 0.6759 0.5537  4 O 1.69-1.77
56 As 0.2500 0.1809 0.6397  4 O 1.68-1.78
57 As 0.2500 0.8241 0.0537  4 O 1.69-1.77
58 As 0.7500 0.8191 0.3603  4 O 1.68-1.78
59 As 0.2500 0.6809 0.8603  4 O 1.68-1.78
60 As 0.7500 0.3191 0.1397  4 O 1.68-1.78